Entry 1:
Computed, not measured: a geometry-optimized Tm5Te4Se structure at the PBE level of DFT.

abc: 9.506 9.506 5.998
angles: 90.00 90.00 90.00
Space group I4/m (No. 87)
Inequivalent atoms, fractional coordinates:
Tm1 0.000 0.000 0.000
Tm2 0.100 0.271 0.500
Te1 0.089 0.308 0.000
Se1 0.000 0.000 0.500

Properties
Energy relative to the lowest polymorph listed for this composition ... 13 meV per atom
Total energy ... -5.104 eV per atom
DOS(E_F) ... 10.50 states/eV per cell
Energy relative to the elements, uncorrected ... -1263.2 meV per atom



Entry 2:
Computed, not measured: a geometry-optimized LaCo2Cu structure at the PBE level of DFT.

abc: 4.401 3.987 4.422
angles: 90.00 107.16 90.00
Space group Pm (No. 6)
Inequivalent atoms, fractional coordinates:
La1 0.000 0.000 0.000
Co1 0.218 0.500 0.573
Co2 0.446 0.000 0.555
Cu1 0.652 0.500 0.347

Properties
Total energy ... -5.630 eV per atom
DOS(E_F) ... 3.20 states/eV per cell
Formation enthalpy at 0 K ... 0.179 eV/atom



Entry 3:
Computed, not measured: a geometry-optimized HoNp2Fe9 structure at the PBE level of DFT.

abc: 4.8186 4.8186 25.1197
angles: 90.00 90.00 120.00
Space group R-3m (No. 166, hexagonal axes)
Inequivalent atoms, fractional coordinates:
Ho1 0.0000 0.0000 0.0000
Np1 0.0000 0.0000 0.1444
Fe1 0.0000 0.0000 0.3319
Fe2 0.0000 0.0000 0.5000
Fe3 0.0030 0.5015 0.0808

Properties
Total energy ... -8.867 eV per atom
DOS(E_F) ... 57.93 states/eV per cell
Formation enthalpy at 0 K ... 0.018 eV/atom



Entry 4:
Computed, not measured: a geometry-optimized PrBeO2 structure at the PBE level of DFT.

abc: 3.1291 3.1291 18.7316
angles: 90.00 90.00 120.00
Space group R-3m (No. 166, hexagonal axes)
Inequivalent atoms, fractional coordinates:
Pr1 0.0000 0.0000 0.0000
Be1 0.0000 0.0000 0.5000
O1 0.0000 0.0000 0.1190

Properties
Total energy ... -5.876 eV per atom
DOS(E_F) ... 8.06 states/eV per cell
Energy relative to the elements, uncorrected ... -1270.3 meV per atom



What is the formula in the second record? LaCo2Cu